Here is KUPa after structural relaxation from OQMD via LeMat-Bulk. Energies are from PBE.

CIF file:
```
data_KUPa
_cell_length_a 7.230
_cell_length_b 7.230
_cell_length_c 7.230
_cell_angle_alpha 90.00
_cell_angle_beta 90.00
_cell_angle_gamma 90.00
_space_group_name_H-M_alt 'F -4 3 m'
_space_group_IT_number 216
_space_group_name_Hall 'F -4 2 3'
loop_
_atom_site_label
_atom_site_type_symbol
_atom_site_fract_x
_atom_site_fract_y
_atom_site_fract_z
K1 K 0.000 0.000 0.000
U1 U 0.250 0.250 0.250
Pa1 Pa 0.000 0.000 0.500
```

Results
total energy	-5.247	eV per atom
relative energy among the computed polymorphs	0	meV/atom
total moment	4.4	μB per formula unit